A plane-wave DFT calculation with GGA-PBE was carried out for crystalline ScCSe2 at its relaxed geometry.

Cell and atoms, written as CIF:
```
data_ScCSe2
_chemical_formula_sum 'Sc1 C1 Se2'
_space_group_name_H-M_alt 'P 1'
_space_group_IT_number 1
_space_group_name_Hall 'P 1'
_cell_length_a 8.102
_cell_length_b 8.102
_cell_length_c 8.102
_cell_angle_alpha 23.86
_cell_angle_beta 23.86
_cell_angle_gamma 23.86
loop_
_atom_site_label
_atom_site_type_symbol
_atom_site_fract_x
_atom_site_fract_y
_atom_site_fract_z
Sc1 Sc 0.000 0.000 0.000
C1 C 0.500 0.500 0.500
Se1 Se 0.889 0.889 0.889
Se2 Se 0.111 0.111 0.111
```

Properties
* crystal system: trigonal
* space-group type: No. 166
* ΔE_f (raw): 0.922 eV per atom
* mass density: 4665 kg/m3
* final energy: -18.84 eV for the cell shown

A plane-wave DFT calculation with GGA-PBE was carried out for crystalline Sc6C3Se at its relaxed geometry.

Cell and atoms, written as CIF:
```
data_Sc6C3Se
_chemical_formula_sum 'Sc12 C6 Se2'
_space_group_name_H-M_alt 'P 1'
_space_group_IT_number 1
_space_group_name_Hall 'P 1'
_cell_length_a 3.488
_cell_length_b 9.632
_cell_length_c 10.056
_cell_angle_alpha 107.42
_cell_angle_beta 90.00
_cell_angle_gamma 90.00
loop_
_atom_site_label
_atom_site_type_symbol
_atom_site_fract_x
_atom_site_fract_y
_atom_site_fract_z
Sc1 Sc 0.750 0.473 0.607
Sc2 Sc 0.250 0.527 0.393
Sc3 Sc 0.750 0.925 0.080
Sc4 Sc 0.250 0.075 0.920
Sc5 Sc 0.750 0.391 0.053
Sc6 Sc 0.250 0.609 0.947
Sc7 Sc 0.750 0.697 0.261
Sc8 Sc 0.250 0.303 0.739
Sc9 Sc 0.750 0.152 0.464
Sc10 Sc 0.250 0.848 0.536
Sc11 Sc 0.750 0.783 0.770
Sc12 Sc 0.250 0.217 0.230
C1 C 0.750 0.467 0.833
C2 C 0.250 0.533 0.167
C3 C 0.750 0.680 0.491
C4 C 0.250 0.320 0.509
C5 C 0.750 0.160 0.080
C6 C 0.250 0.840 0.920
Se1 Se 0.750 0.060 0.698
Se2 Se 0.250 0.940 0.302
```

Properties
* crystal system: monoclinic
* space-group type: No. 11
* ΔE_f (raw): -0.671 eV per atom
* mass density: 3964 kg/m3
* final energy: -151.71 eV for the cell shown

A plane-wave DFT calculation with GGA-PBE was carried out for crystalline ScC3Se at its relaxed geometry.

Cell and atoms, written as CIF:
```
data_ScC3Se
_chemical_formula_sum 'Sc1 C3 Se1'
_space_group_name_H-M_alt 'P 1'
_space_group_IT_number 1
_space_group_name_Hall 'P 1'
_cell_length_a 3.918
_cell_length_b 3.918
_cell_length_c 3.918
_cell_angle_alpha 90.00
_cell_angle_beta 90.00
_cell_angle_gamma 90.00
loop_
_atom_site_label
_atom_site_type_symbol
_atom_site_fract_x
_atom_site_fract_y
_atom_site_fract_z
Sc1 Sc 0.500 0.500 0.500
C1 C 0.000 0.500 0.000
C2 C 0.000 0.000 0.500
C3 C 0.500 0.000 0.000
Se1 Se 0.000 0.000 0.000
```

Properties
* crystal system: cubic
* space-group type: No. 221
* ΔE_f (raw): 2.050 eV per atom
* energy relative to the lowest polymorph listed for this composition: 0 meV/atom
* mass density: 4415 kg/m3
* final energy: -27.24 eV for the cell shown

A plane-wave DFT calculation with GGA-PBE was carried out for crystalline Sc3CSe at its relaxed geometry.

Cell and atoms, written as CIF:
```
data_Sc3CSe
_chemical_formula_sum 'Sc6 C2 Se2'
_space_group_name_H-M_alt 'P 1'
_space_group_IT_number 1
_space_group_name_Hall 'P 1'
_cell_length_a 3.468
_cell_length_b 6.505
_cell_length_c 8.509
_cell_angle_alpha 106.52
_cell_angle_beta 90.00
_cell_angle_gamma 90.00
loop_
_atom_site_label
_atom_site_type_symbol
_atom_site_fract_x
_atom_site_fract_y
_atom_site_fract_z
Sc1 Sc 0.250 0.066 0.372
Sc2 Sc 0.250 0.586 0.320
Sc3 Sc 0.250 0.229 0.928
Sc4 Sc 0.750 0.934 0.628
Sc5 Sc 0.750 0.771 0.072
Sc6 Sc 0.750 0.414 0.680
C1 C 0.750 0.813 0.351
C2 C 0.250 0.187 0.649
Se1 Se 0.750 0.227 0.180
Se2 Se 0.250 0.773 0.820
```

Properties
* crystal system: monoclinic
* space-group type: No. 11
* ΔE_f (raw): -0.892 eV per atom
* energy relative to the lowest polymorph listed for this composition: 0 meV/atom
* mass density: 4075 kg/m3
* final energy: -72.32 eV for the cell shown

A plane-wave DFT calculation with GGA-PBE was carried out for crystalline Sc6CSe2 at its relaxed geometry.

Cell and atoms, written as CIF:
```
data_Sc6CSe2
_chemical_formula_sum 'Sc12 C2 Se4'
_space_group_name_H-M_alt 'P 1'
_space_group_IT_number 1
_space_group_name_Hall 'P 1'
_cell_length_a 5.966
_cell_length_b 6.762
_cell_length_c 8.839
_cell_angle_alpha 90.00
_cell_angle_beta 85.77
_cell_angle_gamma 90.00
loop_
_atom_site_label
_atom_site_type_symbol
_atom_site_fract_x
_atom_site_fract_y
_atom_site_fract_z
Sc1 Sc 0.145 0.028 0.256
Sc2 Sc 0.140 0.303 0.553
Sc3 Sc 0.177 0.324 0.954
Sc4 Sc 0.323 0.824 0.546
Sc5 Sc 0.360 0.803 0.947
Sc6 Sc 0.355 0.528 0.244
Sc7 Sc 0.855 0.972 0.744
Sc8 Sc 0.860 0.697 0.447
Sc9 Sc 0.823 0.676 0.046
Sc10 Sc 0.677 0.176 0.454
Sc11 Sc 0.640 0.197 0.053
Sc12 Sc 0.645 0.472 0.756
C1 C 0.500 0.500 0.000
C2 C 0.000 0.000 0.500
Se1 Se 0.068 0.620 0.762
Se2 Se 0.432 0.120 0.738
Se3 Se 0.568 0.880 0.262
Se4 Se 0.932 0.380 0.238
```

Properties
* crystal system: monoclinic
* space-group type: No. 14
* ΔE_f (raw): -0.861 eV per atom
* mass density: 4106 kg/m3
* final energy: -123.87 eV for the cell shown

A plane-wave DFT calculation with GGA-PBE was carried out for crystalline Sc3CSe at its relaxed geometry.

Cell and atoms, written as CIF:
```
data_Sc3CSe
_chemical_formula_sum 'Sc3 C1 Se1'
_space_group_name_H-M_alt 'P 1'
_space_group_IT_number 1
_space_group_name_Hall 'P 1'
_cell_length_a 4.481
_cell_length_b 4.481
_cell_length_c 4.481
_cell_angle_alpha 90.00
_cell_angle_beta 90.00
_cell_angle_gamma 90.00
loop_
_atom_site_label
_atom_site_type_symbol
_atom_site_fract_x
_atom_site_fract_y
_atom_site_fract_z
Sc1 Sc 0.000 0.500 0.000
Sc2 Sc 0.000 0.000 0.500
Sc3 Sc 0.500 0.000 0.000
C1 C 0.000 0.000 0.000
Se1 Se 0.500 0.500 0.500
```

Properties
* crystal system: cubic
* space-group type: No. 221
* ΔE_f (raw): -0.654 eV per atom
* energy relative to the lowest polymorph listed for this composition: 238 meV/atom
* mass density: 4167 kg/m3
* final energy: -34.97 eV for the cell shown

A plane-wave DFT calculation with GGA-PBE was carried out for crystalline ScCSe3 at its relaxed geometry.

Cell and atoms, written as CIF:
```
data_ScCSe3
_chemical_formula_sum 'Sc1 C1 Se3'
_space_group_name_H-M_alt 'P 1'
_space_group_IT_number 1
_space_group_name_Hall 'P 1'
_cell_length_a 4.440
_cell_length_b 4.440
_cell_length_c 4.440
_cell_angle_alpha 90.00
_cell_angle_beta 90.00
_cell_angle_gamma 90.00
loop_
_atom_site_label
_atom_site_type_symbol
_atom_site_fract_x
_atom_site_fract_y
_atom_site_fract_z
Sc1 Sc 0.500 0.500 0.500
C1 C 0.000 0.000 0.000
Se1 Se 0.000 0.500 0.000
Se2 Se 0.000 0.000 0.500
Se3 Se 0.500 0.000 0.000
```

Properties
* crystal system: cubic
* space-group type: No. 221
* ΔE_f (raw): 0.335 eV per atom
* energy relative to the lowest polymorph listed for this composition: 0 meV/atom
* mass density: 5576 kg/m3
* final energy: -24.33 eV for the cell shown

A plane-wave DFT calculation with GGA-PBE was carried out for crystalline Sc3CSe at its relaxed geometry.

Cell and atoms, written as CIF:
```
data_Sc3CSe
_chemical_formula_sum 'Sc12 C4 Se4'
_space_group_name_H-M_alt 'P 1'
_space_group_IT_number 1
_space_group_name_Hall 'P 1'
_cell_length_a 5.828
_cell_length_b 7.998
_cell_length_c 7.998
_cell_angle_alpha 96.74
_cell_angle_beta 95.00
_cell_angle_gamma 95.00
loop_
_atom_site_label
_atom_site_type_symbol
_atom_site_fract_x
_atom_site_fract_y
_atom_site_fract_z
Sc1 Sc 0.610 0.189 0.043
Sc2 Sc 0.890 0.957 0.811
Sc3 Sc 0.390 0.811 0.957
Sc4 Sc 0.110 0.043 0.189
Sc5 Sc 0.891 0.681 0.083
Sc6 Sc 0.609 0.917 0.319
Sc7 Sc 0.109 0.319 0.917
Sc8 Sc 0.391 0.083 0.681
Sc9 Sc 0.430 0.551 0.256
Sc10 Sc 0.070 0.744 0.449
Sc11 Sc 0.570 0.449 0.744
Sc12 Sc 0.930 0.256 0.551
C1 C 0.250 0.067 0.933
C2 C 0.750 0.933 0.067
C3 C 0.250 0.784 0.216
C4 C 0.750 0.216 0.784
Se1 Se 0.978 0.401 0.240
Se2 Se 0.522 0.760 0.599
Se3 Se 0.022 0.599 0.760
Se4 Se 0.478 0.240 0.401
```

Properties
* crystal system: monoclinic
* space-group type: No. 15
* ΔE_f (raw): -0.882 eV per atom
* energy relative to the lowest polymorph listed for this composition: 10 meV/atom
* mass density: 4088 kg/m3
* final energy: -144.45 eV for the cell shown